Record 1
Below is a relaxed structure of CoAsBr2, with properties calculated at the GGA-PBE level.

```
CoAsBr2
1.0
3.106 0.000 0.000
0.000 3.106 0.000
0.000 0.000 11.518
Co As Br
1 1 2
Direct
0.000 0.000 0.000
0.000 0.000 0.500
0.500 0.500 0.140
0.500 0.500 0.860
```

Properties
Energy relative to the elements, uncorrected in eV/atom: 0.515
DOS at the Fermi energy in states/eV per atom: 0.904
E_tot in eV/atom: -3.26



Record 2
Below is a relaxed structure of YScGe2, with properties calculated at the GGA-PBE level.

```
YScGe2
1.0
4.467 0.000 0.000
-2.233 3.868 0.000
0.000 0.000 15.347
Y Sc Ge
3 3 6
Direct
0.000 0.000 0.000
0.333 0.667 0.667
0.667 0.333 0.333
0.000 0.000 0.500
0.333 0.667 0.167
0.667 0.333 0.833
0.000 0.000 0.240
0.000 0.000 0.760
0.333 0.667 0.427
0.333 0.667 0.907
0.667 0.333 0.093
0.667 0.333 0.573
```

Properties
DOS at the Fermi energy in states/eV per atom: 0.551
Formation enthalpy at 0 K in eV/atom: -0.702
E_tot in eV/atom: -6.21



Record 3
Below is a relaxed structure of Ni2AgTe, with properties calculated at the GGA-PBE level.

```
Ni2AgTe
1.0
8.679 0.000 0.000
0.000 3.500 0.000
-1.226 0.000 4.309
Ni Ag Te
4 2 2
Direct
0.000 0.000 0.000
0.236 0.500 0.221
0.500 0.500 0.000
0.736 0.000 0.221
0.494 0.000 0.480
0.994 0.500 0.480
0.269 0.000 0.839
0.769 0.500 0.839
```

Properties
Energy relative to the elements, uncorrected in eV/atom: 0.191
DOS at the Fermi energy in states/eV per atom: 0.471
E_tot in eV/atom: -4.20



Record 4
Below is a relaxed structure of CsGa2SO, with properties calculated at the GGA-PBE level.

```
CsGa2SO
1.0
4.698 0.000 0.000
0.000 4.698 0.000
0.000 0.000 5.662
Cs Ga S O
1 2 1 1
Direct
0.000 0.000 0.000
0.000 0.500 0.500
0.500 0.000 0.500
0.500 0.500 0.000
0.500 0.500 0.500
```

Properties
Energy relative to the elements, uncorrected in eV/atom: -0.057
DOS at the Fermi energy in states/eV per atom: 0.432
E_tot in eV/atom: -3.26



Record 5
Below is a relaxed structure of ZrPaMn2, with properties calculated at the GGA-PBE level.

```
ZrPaMn2
1.0
6.517 0.000 0.000
0.000 6.517 0.000
0.000 0.000 6.517
Zr Pa Mn
4 4 8
Direct
0.000 0.000 0.000
0.000 0.500 0.500
0.500 0.000 0.500
0.500 0.500 0.000
0.000 0.000 0.500
0.000 0.500 0.000
0.500 0.000 0.000
0.500 0.500 0.500
0.250 0.250 0.250
0.250 0.250 0.750
0.250 0.750 0.250
0.250 0.750 0.750
0.750 0.250 0.250
0.750 0.250 0.750
0.750 0.750 0.250
0.750 0.750 0.750
```

Properties
DOS at the Fermi energy in states/eV per atom: 1.128
Formation enthalpy at 0 K in eV/atom: 0.047
E_tot in eV/atom: -9.05



Record 6
Below is a relaxed structure of PuTl2InTe4, with properties calculated at the GGA-PBE level.

```
PuTl2InTe4
1.0
-4.583 4.604 6.589
4.583 -4.604 6.589
4.583 4.604 -6.589
Pu Tl In Te
2 4 2 8
Direct
0.000 0.000 0.000
0.500 0.000 0.500
0.000 0.500 0.500
0.500 0.000 0.000
0.500 0.500 0.000
0.500 0.500 0.500
0.000 0.000 0.500
0.000 0.500 0.000
0.214 0.239 0.975
0.236 0.761 0.475
0.239 0.216 0.477
0.239 0.761 0.023
0.761 0.239 0.977
0.761 0.784 0.523
0.764 0.239 0.525
0.786 0.761 0.025
```

Properties
Energy relative to the elements, uncorrected in eV/atom: -0.503
DOS at the Fermi energy in states/eV per atom: 1.611
E_tot in eV/atom: -4.80



Record 7
Below is a relaxed structure of PmCuH6Ru, with properties calculated at the GGA-PBE level.

```
PmCuH6Ru
1.0
4.635 0.000 0.000
-2.317 4.014 0.000
0.000 0.000 4.318
Pm Cu H Ru
1 1 6 1
Direct
0.000 0.000 0.000
0.333 0.667 0.500
0.507 0.014 0.238
0.507 0.014 0.762
0.507 0.493 0.238
0.507 0.493 0.762
0.986 0.493 0.238
0.986 0.493 0.762
0.667 0.333 0.500
```

Properties
DOS at the Fermi energy in states/eV per atom: 0.228
E_tot in eV/atom: -4.51



Record 8
Below is a relaxed structure of PrDyCuAg, with properties calculated at the GGA-PBE level.

```
PrDyCuAg
1.0
7.286 0.000 0.000
0.000 7.286 0.000
0.000 0.000 7.286
Pr Dy Cu Ag
4 4 4 4
Direct
0.000 0.000 0.000
0.000 0.500 0.500
0.500 0.000 0.500
0.500 0.500 0.000
0.000 0.000 0.500
0.000 0.500 0.000
0.500 0.000 0.000
0.500 0.500 0.500
0.250 0.250 0.250
0.250 0.750 0.750
0.750 0.250 0.750
0.750 0.750 0.250
0.250 0.250 0.750
0.250 0.750 0.250
0.750 0.250 0.250
0.750 0.750 0.750
```

Properties
DOS at the Fermi energy in states/eV per atom: 1.059
Formation enthalpy at 0 K in eV/atom: -0.198
E_tot in eV/atom: -4.28



Record 9
Below is a relaxed structure of Ho7Sb2Ru2, with properties calculated at the GGA-PBE level.

```
Ho7Sb2Ru2
1.0
-2.025 7.841 4.568
2.025 -7.841 4.568
2.025 7.841 -4.568
Ho Sb Ru
7 2 2
Direct
0.000 0.000 0.000
0.067 0.382 0.685
0.104 0.753 0.350
0.403 0.753 0.650
0.461 0.591 0.870
0.696 0.382 0.315
0.721 0.591 0.130
0.333 0.333 0.000
0.747 0.247 0.500
0.310 0.070 0.240
0.830 0.070 0.760
```

Properties
Energy relative to the elements, uncorrected in eV/atom: -0.586
DOS at the Fermi energy in states/eV per atom: 0.789
E_tot in eV/atom: -5.94



Record 10
Below is a relaxed structure of Ca2BeCuPd, with properties calculated at the GGA-PBE level.

```
Ca2BeCuPd
1.0
5.321 0.000 0.000
0.000 5.321 0.000
0.000 0.000 4.106
Ca Be Cu Pd
2 1 1 1
Direct
0.000 0.500 0.000
0.500 0.000 0.000
0.000 0.000 0.500
0.000 0.000 0.000
0.500 0.500 0.500
```

Properties
DOS at the Fermi energy in states/eV per atom: 0.639
Formation enthalpy at 0 K in eV/atom: 0.121
E_tot in eV/atom: -3.28



Record 11
Below is a relaxed structure of UGaPt3, with properties calculated at the GGA-PBE level.

```
UGaPt3
1.0
2.817 -6.229 0.000
2.817 6.229 0.000
0.000 0.000 5.189
U Ga Pt
2 2 6
Direct
0.077 0.923 0.750
0.923 0.077 0.250
0.320 0.680 0.250
0.680 0.320 0.750
0.091 0.410 0.750
0.410 0.091 0.250
0.500 0.500 0.000
0.500 0.500 0.500
0.590 0.909 0.750
0.909 0.590 0.250
```

Properties
DOS at the Fermi energy in states/eV per atom: 1.620
Formation enthalpy at 0 K in eV/atom: -0.556
E_tot in eV/atom: -7.04



Record 12
Below is a relaxed structure of Sc2TaAs, with properties calculated at the GGA-PBE level.

```
Sc2TaAs
1.0
4.087 0.000 0.000
0.000 4.087 0.000
0.000 0.000 9.061
Sc Ta As
4 2 2
Direct
0.000 0.500 0.250
0.000 0.500 0.750
0.500 0.000 0.250
0.500 0.000 0.750
0.000 0.000 0.000
0.500 0.500 0.500
0.000 0.000 0.500
0.500 0.500 0.000
```

Properties
DOS at the Fermi energy in states/eV per atom: 1.255
Formation enthalpy at 0 K in eV/atom: -0.193
E_tot in eV/atom: -7.48